A plane-wave DFT calculation with GGA-PBE was carried out for a relaxed structure of CdTeS3.

Unit cell a=5.0350 b=5.0350 c=5.0350 alpha=90.00 beta=90.00 gamma=90.00
Last column: nearest neighbours and their distance in Å.
Space group Pm-3m (No. 221)
Symmetry-distinct sites (fractional):
Cd  0.0000  0.0000  0.0000 x1  12 S 3.56
Te  0.5000  0.5000  0.5000 x1  6 S 2.52
S  0.0000  0.5000  0.5000 x3  2 Te 2.52

Values from the calculation:
**Offset from the most stable computed form**: 0 kJ/mol of formula units
**Total magnetic moment**: 0.000 μB per atom
**Calculated volume**: 25.53 A^3/atom
**E_form (uncorrected)**: 0.437 eV per atom

=====

A plane-wave DFT calculation with GGA-PBE was carried out for a relaxed structure of Fe3SnB.

Unit cell a=4.6479 b=4.6479 c=4.6479 alpha=90.00 beta=90.00 gamma=90.00
Last column: nearest neighbours and their distance in Å.
Space group Pm-3m (No. 221)
Symmetry-distinct sites (fractional):
Fe  0.0000  0.0000  0.5000 x3  2 Sn 2.32
Sn  0.0000  0.0000  0.0000 x1  6 Fe 2.32
B  0.5000  0.5000  0.5000 x1  12 Fe 3.29

Values from the calculation:
**Offset from the most stable computed form**: 1089 kJ/mol of formula units
**Formation energy from the elements**: 2.26 eV/atom
**Total magnetic moment**: 1.647 μB per atom
**Calculated volume**: 20.08 A^3/atom

=====

A plane-wave DFT calculation with GGA-PBE was carried out for a relaxed structure of Cr2FeTc.

Unit cell a=6.5134 b=6.5134 c=4.8732 alpha=90.00 beta=90.00 gamma=90.00
Last column: nearest neighbours and their distance in Å.
Space group I-42d (No. 122)
Symmetry-distinct sites (fractional):
Cr  0.2290  0.7500  0.1250 x8  2 Fe 2.29, 2 Cr 2.45, 2 Tc 2.48
Fe  0.0000  0.0000  0.0000 x4  4 Cr 2.29, 2 Tc 2.44
Tc  0.0000  0.0000  0.5000 x4  2 Fe 2.44, 4 Cr 2.48

Values from the calculation:
**Offset from the most stable computed form**: 238 kJ/mol of formula units
**Formation energy from the elements**: 0.72 eV/atom
**Total magnetic moment**: 0.001 μB per atom
**Calculated volume**: 12.92 A^3/atom

=====

A plane-wave DFT calculation with GGA-PBE was carried out for a relaxed structure of CoReW2.

Unit cell a=3.1644 b=4.3325 c=8.6453 alpha=90.00 beta=90.00 gamma=90.00
Last column: nearest neighbours and their distance in Å.
Space group Imm2 (No. 44)
Symmetry-distinct sites (fractional):
Co  0.0000  0.0000  0.0000 x2  6 W 2.67-2.68, 2 Re 2.75
Re  0.0000  0.5000  0.7597 x2  6 W 2.65-2.68, 2 Co 2.75
W  0.0000  0.0000  0.5049 x2  2 Re 2.65, 2 W 2.65, 4 Co 2.68
W  0.0000  0.5000  0.2510 x2  2 W 2.65, 2 Co 2.67, 4 Re 2.68

Values from the calculation:
**Offset from the most stable computed form**: 27 kJ/mol of formula units
**Formation energy from the elements**: 0.19 eV/atom
**Total magnetic moment**: 0.406 μB per atom
**Calculated volume**: 14.82 A^3/atom

=====

A plane-wave DFT calculation with GGA-PBE was carried out for a relaxed structure of SiAu5.

Unit cell a=10.1342 b=2.9229 c=7.4138 alpha=90.00 beta=101.86 gamma=90.00
Last column: nearest neighbours and their distance in Å.
Space group Cm (No. 8)
Symmetry-distinct sites (fractional):
Si  0.0000  0.0000  0.0000 x2  6 Au 2.53-2.58
Au  0.0556  0.5000  0.7381 x2  2 Si 2.58
Au  0.1507  0.5000  0.2474 x2  2 Si 2.58
Au  0.2607  0.0000  0.5864 x2  11 Au 2.92-3.27
Au  0.2946  0.0000  0.9906 x2  2 Si 2.53
Au  0.4410  0.5000  0.3891 x2  9 Au 2.91-2.99, 1 Si 3.06

Values from the calculation:
**Total magnetic moment**: 0.000 μB per atom
**Calculated volume**: 17.91 A^3/atom
**E_form (uncorrected)**: 0.052 eV per atom

=====

A plane-wave DFT calculation with GGA-PBE was carried out for a relaxed structure of Hf2NbNiH.

Unit cell a=4.5969 b=4.5969 c=3.4796 alpha=90.00 beta=90.00 gamma=90.00
Last column: nearest neighbours and their distance in Å.
Space group P4/mmm (No. 123)
Symmetry-distinct sites (fractional):
Hf  0.0000  0.5000  0.0000 x2  2 H 2.30
Nb  0.0000  0.0000  0.5000 x1  8 Hf 2.88
Ni  0.5000  0.5000  0.5000 x1  2 H 1.74
H  0.5000  0.5000  0.0000 x1  2 Ni 1.74

Values from the calculation:
**Offset from the most stable computed form**: 0 kJ/mol of formula units
**Total magnetic moment**: 0.000 μB per atom
**Calculated volume**: 14.71 A^3/atom

=====

A plane-wave DFT calculation with GGA-PBE was carried out for a relaxed structure of Cd5In5Hg2.

Unit cell a=13.9760 b=5.2056 c=9.7100 alpha=90.00 beta=118.64 gamma=90.00
Last column: nearest neighbours and their distance in Å.
Space group C2/m (No. 12)
Symmetry-distinct sites (fractional):
Cd  0.0000  0.0000  0.0000 x2  2 Cd 3.06, 4 In 3.14
Cd  0.0813  0.0000  0.4079 x4  1 Hg 3.01, 5 In 3.08-3.14
Cd  0.2436  0.0000  0.2352 x4  2 Cd 3.06-3.41, 2 Hg 3.07, 4 In 3.15-3.33
In  0.0000  0.5000  0.5000 x2  6 Cd 3.14-3.26, 2 In 3.40
In  0.0931  0.5000  0.9265 x4  3 Hg 3.13-3.14, 3 Cd 3.14-3.33, 1 In 3.34
In  0.1702  0.5000  0.3414 x4  5 Cd 3.08-3.15, 2 In 3.34-3.40, 1 Hg 3.37
Hg  0.1604  0.0000  0.8153 x4  3 Cd 3.01-3.07, 4 In 3.13-3.37

Values from the calculation:
**Offset from the most stable computed form**: 18 kJ/mol of formula units
**Formation energy from the elements**: 0.04 eV/atom
**Total magnetic moment**: 0.000 μB per atom
**Calculated volume**: 25.83 A^3/atom

=====

A plane-wave DFT calculation with GGA-PBE was carried out for a relaxed structure of Tb5DyAl4.

Unit cell a=7.7927 b=8.8608 c=8.2383 alpha=90.00 beta=90.00 gamma=90.00
Last column: nearest neighbours and their distance in Å.
Space group Pmmn (No. 59, origin choice 2)
Symmetry-distinct sites (fractional):
Tb  0.0018  0.0523  0.2283 x8  4 Al 3.06-3.18, 1 Dy 3.39
Tb  0.2500  0.7500  0.4236 x2  4 Al 3.18-3.21
Dy  0.2500  0.2500  0.8533 x2  4 Al 2.76-3.09
Al  0.0933  0.7500  0.0626 x4  1 Al 2.44
Al  0.2500  0.0986  0.5152 x4  1 Al 2.68

Values from the calculation:
**Offset from the most stable computed form**: 246 kJ/mol of formula units
**Formation energy from the elements**: -0.05 eV/atom
**Total magnetic moment**: 0.000 μB per atom
**Calculated volume**: 28.44 A^3/atom

=====

A plane-wave DFT calculation with GGA-PBE was carried out for a relaxed structure of V2MoOs2.

Unit cell a=7.1842 b=7.1842 c=2.8367 alpha=90.00 beta=90.00 gamma=90.00
Last column: nearest neighbours and their distance in Å.
Space group P4/mbm (No. 127)
Symmetry-distinct sites (fractional):
V  0.1491  0.3509  0.0000 x4  6 Os 2.47-2.58, 2 Mo 2.74
Mo  0.0000  0.0000  0.0000 x2  4 V 2.74, 2 Mo 2.84
Os  0.1517  0.6517  0.5000 x4  6 V 2.47-2.58

Values from the calculation:
**Offset from the most stable computed form**: 0 kJ/mol of formula units
**Formation energy from the elements**: 0.01 eV/atom
**Total magnetic moment**: 0.000 μB per atom
**Calculated volume**: 14.64 A^3/atom

=====

A plane-wave DFT calculation with GGA-PBE was carried out for a relaxed structure of Cu2AgHRh.

Unit cell a=4.0859 b=4.0859 c=3.5372 alpha=90.00 beta=90.00 gamma=90.00
Last column: nearest neighbours and their distance in Å.
Space group P4/mmm (No. 123)
Symmetry-distinct sites (fractional):
Cu  0.0000  0.5000  0.0000 x2  2 H 2.04
Ag  0.0000  0.0000  0.5000 x1  8 Cu 2.70, 4 Rh 2.89
H  0.5000  0.5000  0.0000 x1  2 Rh 1.77
Rh  0.5000  0.5000  0.5000 x1  2 H 1.77

Values from the calculation:
**Total magnetic moment**: 0.000 μB per atom
**Calculated total energy**: -4.305 eV per atom
**Calculated volume**: 11.81 A^3/atom

=====

A plane-wave DFT calculation with GGA-PBE was carried out for a relaxed structure of LiHfSn.

Unit cell a=3.2683 b=3.2683 c=11.0857 alpha=90.00 beta=90.00 gamma=90.00
Last column: nearest neighbours and their distance in Å.
Space group I4mm (No. 107)
Symmetry-distinct sites (fractional):
Li  0.0000  0.0000  0.0000 x2  4 Sn 2.76, 4 Hf 3.02
Hf  0.0000  0.0000  0.3248 x2  4 Li 3.02, 4 Sn 3.12, 4 Hf 3.27
Sn  0.0000  0.0000  0.6362 x2  4 Li 2.76

Values from the calculation:
**Formation energy from the elements**: -0.07 eV/atom
**Total magnetic moment**: 0.000 μB per atom
**Calculated volume**: 19.74 A^3/atom

=====

A plane-wave DFT calculation with GGA-PBE was carried out for a relaxed structure of U2GaGe.

Unit cell a=2.9905 b=2.9905 c=31.0049 alpha=90.00 beta=90.00 gamma=120.00
Last column: nearest neighbours and their distance in Å.
Space group R-3m (No. 166, hexagonal axes)
Symmetry-distinct sites (fractional):
U  0.0000  0.0000  0.2493 x6  6 U 2.99, 3 Ge 3.09, 3 Ga 3.12
Ga  0.0000  0.0000  0.0000 x3  6 Ga 2.99, 6 U 3.12
Ge  0.0000  0.0000  0.5000 x3  6 Ge 2.99, 6 U 3.09

Values from the calculation:
**Formation energy from the elements**: -0.04 eV/atom
**Total magnetic moment**: 0.799 μB per atom
**Calculated volume**: 20.01 A^3/atom